1.
# GGA-PBE LuAlCu, optimized geometry
# M_tot = 0.000 Bohr magnetons per cell
# formation energy = -0.394 eV/atom
data_LuAlCu
_cell_length_a 4.3609
_cell_length_b 4.3609
_cell_length_c 3.4443
_cell_angle_alpha 90.00
_cell_angle_beta 90.00
_cell_angle_gamma 120.00
_symmetry_space_group_name_H-M 'P -6 m 2'
_symmetry_Int_Tables_number 187
_symmetry_space_group_name_Hall 'P -6 2'
loop_
_atom_site_label
_atom_site_fract_x
_atom_site_fract_y
_atom_site_fract_z
Lu1 0.0000 0.0000 0.0000
Al1 0.3333 0.6667 0.5000
Cu1 0.6667 0.3333 0.5000

2.
# GGA-PBE Lu2AlCu, optimized geometry
# M_tot = 0.000 Bohr magnetons per cell
# formation energy = -0.348 eV/atom
data_Lu2AlCu
_cell_length_a 3.405
_cell_length_b 3.405
_cell_length_c 7.197
_cell_angle_alpha 90.00
_cell_angle_beta 90.00
_cell_angle_gamma 90.00
_symmetry_space_group_name_H-M 'P 4/m m m'
_symmetry_Int_Tables_number 123
_symmetry_space_group_name_Hall '-P 4 2'
loop_
_atom_site_label
_atom_site_fract_x
_atom_site_fract_y
_atom_site_fract_z
Lu1 0.000 0.000 0.234
Al1 0.500 0.500 0.500
Cu1 0.500 0.500 0.000

3.
# GGA-PBE LuAlCu, optimized geometry
# M_tot = 0.000 Bohr magnetons per cell
# formation energy = -0.254 eV/atom
data_LuAlCu
_cell_length_a 6.252
_cell_length_b 6.252
_cell_length_c 6.252
_cell_angle_alpha 90.00
_cell_angle_beta 90.00
_cell_angle_gamma 90.00
_symmetry_space_group_name_H-M 'F -4 3 m'
_symmetry_Int_Tables_number 216
_symmetry_space_group_name_Hall 'F -4 2 3'
loop_
_atom_site_label
_atom_site_fract_x
_atom_site_fract_y
_atom_site_fract_z
Lu1 0.000 0.000 0.000
Al1 0.000 0.000 0.500
Cu1 0.250 0.250 0.250

4.
# GGA-PBE LuAlCu2, optimized geometry
# M_tot = 0.000 Bohr magnetons per cell
# formation energy = -0.196 eV/atom
data_LuAlCu2
_cell_length_a 4.408
_cell_length_b 4.408
_cell_length_c 3.433
_cell_angle_alpha 90.00
_cell_angle_beta 90.00
_cell_angle_gamma 90.00
_symmetry_space_group_name_H-M 'P 4/m m m'
_symmetry_Int_Tables_number 123
_symmetry_space_group_name_Hall '-P 4 2'
loop_
_atom_site_label
_atom_site_fract_x
_atom_site_fract_y
_atom_site_fract_z
Lu1 0.000 0.000 0.000
Al1 0.500 0.500 0.000
Cu1 0.000 0.500 0.500

5.
# GGA-PBE LuAlCu2, optimized geometry
# M_tot = 0.000 Bohr magnetons per cell
# formation energy = -0.383 eV/atom
data_LuAlCu2
_cell_length_a 6.360
_cell_length_b 6.360
_cell_length_c 6.360
_cell_angle_alpha 90.00
_cell_angle_beta 90.00
_cell_angle_gamma 90.00
_symmetry_space_group_name_H-M 'F m -3 m'
_symmetry_Int_Tables_number 225
_symmetry_space_group_name_Hall '-F 4 2 3'
loop_
_atom_site_label
_atom_site_fract_x
_atom_site_fract_y
_atom_site_fract_z
Lu1 0.000 0.000 0.000
Al1 0.000 0.000 0.500
Cu1 0.250 0.250 0.250

6.
# GGA-PBE LuMgAlCu, optimized geometry
# M_tot = 0.003 Bohr magnetons per cell
# formation energy = -0.230 eV/atom
data_LuMgAlCu
_cell_length_a 6.718
_cell_length_b 6.718
_cell_length_c 6.718
_cell_angle_alpha 90.00
_cell_angle_beta 90.00
_cell_angle_gamma 90.00
_symmetry_space_group_name_H-M 'F -4 3 m'
_symmetry_Int_Tables_number 216
_symmetry_space_group_name_Hall 'F -4 2 3'
loop_
_atom_site_label
_atom_site_fract_x
_atom_site_fract_y
_atom_site_fract_z
Lu1 0.000 0.000 0.000
Mg1 0.000 0.000 0.500
Al1 0.250 0.250 0.250
Cu1 0.250 0.250 0.750